Record 1
First-principles (GGA-PBEsol) data for a relaxed ZnTcOF2 crystal, as listed in Alexandria via LeMat-Bulk.

Values from the calculation:
- size of the total moment (μB/f.u.) = 5.0
- uncorrected formation energy (eV/atom) = -0.7271
- uncorrected energy (hartree per atom) = -0.1881
- symmetry = P4/mmm, No. 123

a = 3.9042 Å, b = 3.9042 Å, c = 4.0329 Å
α = 90.00°, β = 90.00°, γ = 90.00°
Sites, in units of the cell vectors:
Zn1 0.0000 0.0000 0.0000
Tc1 0.5000 0.5000 0.5000
O1 0.0000 0.0000 0.5000
F1 0.0000 0.5000 0.0000
F2 0.5000 0.0000 0.0000

***

Record 2
First-principles (GGA-PBEsol) data for a relaxed ZrTcOF2 crystal, as listed in Alexandria via LeMat-Bulk.

Values from the calculation:
- size of the total moment (μB/f.u.) = 3.6
- uncorrected formation energy (eV/atom) = -1.3740
- uncorrected energy (hartree per atom) = -0.2670
- symmetry = P4/mmm, No. 123

a = 4.0645 Å, b = 4.2344 Å, c = 4.2344 Å
α = 90.00°, β = 90.00°, γ = 90.00°
Sites, in units of the cell vectors:
O1 0.5000 0.0000 0.0000
Tc1 0.5000 0.5000 0.5000
Zr1 0.0000 0.0000 0.0000
F1 0.0000 0.0000 0.5000
F2 0.0000 0.5000 0.0000

***

Record 3
First-principles (GGA-PBEsol) data for a relaxed Te2O3F2 crystal, as listed in Alexandria via LeMat-Bulk.

Values from the calculation:
- size of the total moment (μB/f.u.) = 0.0
- uncorrected formation energy (eV/atom) = -1.4631
- uncorrected energy (hartree per atom) = -0.1937
- symmetry = P-1, No. 2

a = 5.1243 Å, b = 6.0979 Å, c = 6.8749 Å
α = 98.92°, β = 110.30°, γ = 91.99°
Sites, in units of the cell vectors:
F1 0.0889 0.7074 0.4729
F2 0.9111 0.2926 0.5271
F3 0.6732 0.9415 0.7063
F4 0.3268 0.0585 0.2937
O1 0.6531 0.1823 0.0654
O2 0.3469 0.8177 0.9346
O3 0.5206 0.3748 0.7030
O4 0.4794 0.6252 0.2970
O5 0.1168 0.3439 0.9329
O6 0.8832 0.6561 0.0671
Te1 0.1256 0.4684 0.2430
Te2 0.8744 0.5316 0.7570
Te3 0.3850 0.0983 0.7860
Te4 0.6150 0.9017 0.2140

***

Record 4
First-principles (GGA-PBEsol) data for a relaxed Te2OF crystal, as listed in Alexandria via LeMat-Bulk.

Values from the calculation:
- size of the total moment (μB/f.u.) = 0.0
- uncorrected formation energy (eV/atom) = -0.2165
- uncorrected energy (hartree per atom) = -0.1387
- symmetry = Fm-3m, No. 225

a = 4.4496 Å, b = 4.4496 Å, c = 4.4496 Å
α = 60.00°, β = 60.00°, γ = 60.00°
Sites, in units of the cell vectors:
Te1 0.2500 0.2500 0.2500
Te2 0.7500 0.7500 0.7500
O1 0.0000 0.0000 0.0000
F1 0.5000 0.5000 0.5000

***

Record 5
First-principles (GGA-PBEsol) data for a relaxed TeOF2 crystal, as listed in Alexandria via LeMat-Bulk.

Values from the calculation:
- size of the total moment (μB/f.u.) = 0.0
- uncorrected formation energy (eV/atom) = -1.7493
- uncorrected energy (hartree per atom) = -0.1803
- energy above the most stable polymorph in this dataset (meV/atom) = 0
- symmetry = P2_1, No. 4

a = 5.3061 Å, b = 5.7854 Å, c = 7.9273 Å
α = 90.00°, β = 90.00°, γ = 100.21°
Sites, in units of the cell vectors:
F1 0.1944 0.8553 0.5585
F2 0.8056 0.1447 0.0585
F3 0.6421 0.7509 0.3421
F4 0.3579 0.2491 0.8421
F5 0.2296 0.4153 0.2539
F6 0.7704 0.5847 0.7539
F7 0.9611 0.6820 0.0618
F8 0.0389 0.3180 0.5618
O1 0.2993 0.0293 0.1170
O2 0.7007 0.9707 0.6170
O3 0.6278 0.2519 0.3543
O4 0.3722 0.7481 0.8543
Te1 0.5239 0.3332 0.1300
Te2 0.4761 0.6668 0.6300
Te3 0.8885 0.0663 0.4109
Te4 0.1115 0.9337 0.9109

***

Record 6
First-principles (GGA-PBEsol) data for a relaxed TeOF2 crystal, as listed in Alexandria via LeMat-Bulk.

Values from the calculation:
- size of the total moment (μB/f.u.) = 0.8
- uncorrected formation energy (eV/atom) = 0.0876
- uncorrected energy (hartree per atom) = -0.1128
- energy above the most stable polymorph in this dataset (meV/atom) = 1837
- symmetry = R-3m, No. 166

a = 3.1111 Å, b = 3.1111 Å, c = 7.4384 Å
α = 77.93°, β = 77.93°, γ = 60.00°
Sites, in units of the cell vectors:
Te1 0.5000 0.5000 0.5000
O1 0.0000 0.0000 0.0000
F1 0.9201 0.9201 0.2397
F2 0.0799 0.0799 0.7603

***

Record 7
First-principles (GGA-PBEsol) data for a relaxed TiTeO3F2 crystal, as listed in Alexandria via LeMat-Bulk.

Values from the calculation:
- size of the total moment (μB/f.u.) = 0.0
- uncorrected formation energy (eV/atom) = -2.3415
- uncorrected energy (hartree per atom) = -0.2512
- symmetry = P2_1/c, No. 14

a = 6.4570 Å, b = 7.4012 Å, c = 16.4320 Å
α = 90.00°, β = 89.80°, γ = 90.00°
Sites, in units of the cell vectors:
Ti1 0.2471 0.6058 0.3703
Ti2 0.2529 0.1058 0.1297
Ti3 0.7428 0.3705 0.8697
Ti4 0.7572 0.8705 0.6303
Ti5 0.7529 0.3942 0.6297
Ti6 0.7471 0.8942 0.8703
Ti7 0.2572 0.6295 0.1303
Ti8 0.2428 0.1295 0.3697
Te1 0.7388 0.3651 0.3654
Te2 0.7612 0.8651 0.1346
Te3 0.2589 0.6330 0.8660
Te4 0.2411 0.1330 0.6340
Te5 0.2612 0.6349 0.6346
Te6 0.2388 0.1349 0.8654
Te7 0.7411 0.3670 0.1340
Te8 0.7589 0.8670 0.3660
O1 0.7874 0.3603 0.2495
O2 0.7126 0.8603 0.2505
O3 0.2126 0.6397 0.7505
O4 0.2874 0.1397 0.7495
O5 0.5420 0.5586 0.3631
O6 0.9580 0.0586 0.1369
O7 0.4569 0.4407 0.8622
O8 0.0431 0.9407 0.6378
O9 0.4580 0.4414 0.6369
O10 0.0420 0.9414 0.8631
O11 0.5431 0.5593 0.1378
O12 0.9569 0.0593 0.3622
O13 0.5389 0.1740 0.3670
O14 0.9611 0.6740 0.1330
O15 0.4615 0.8219 0.8690
O16 0.0385 0.3219 0.6310
O17 0.4611 0.8260 0.6330
O18 0.0389 0.3260 0.8670
O19 0.5385 0.1781 0.1310
O20 0.9615 0.6781 0.3690
O21 0.1789 0.3680 0.3703
O22 0.3211 0.8680 0.1297
O23 0.8211 0.6320 0.6297
O24 0.6789 0.1320 0.8703
F1 0.2463 0.6192 0.2505
F2 0.2537 0.1192 0.2495
F3 0.7537 0.3808 0.7495
F4 0.7463 0.8808 0.7505
F5 0.2697 0.6325 0.4825
F6 0.2303 0.1325 0.0175
F7 0.7377 0.4003 0.9818
F8 0.7623 0.9003 0.5182
F9 0.7303 0.3675 0.5175
F10 0.7697 0.8675 0.9825
F11 0.2623 0.5997 0.0182
F12 0.2377 0.0997 0.4818
F13 0.8258 0.6318 0.8614
F14 0.6742 0.1318 0.6386
F15 0.1742 0.3682 0.1386
F16 0.3258 0.8682 0.3614

***

Record 8
First-principles (GGA-PBEsol) data for a relaxed TlTeO2F crystal, as listed in Alexandria via LeMat-Bulk.

Values from the calculation:
- size of the total moment (μB/f.u.) = 0.0
- uncorrected formation energy (eV/atom) = -0.2374
- uncorrected energy (hartree per atom) = -0.1453
- symmetry = P4/mmm, No. 123

a = 4.2886 Å, b = 4.3252 Å, c = 4.3252 Å
α = 90.00°, β = 90.00°, γ = 90.00°
Sites, in units of the cell vectors:
Tl1 0.0000 0.0000 0.0000
Te1 0.5000 0.5000 0.5000
O1 0.0000 0.0000 0.5000
O2 0.0000 0.5000 0.0000
F1 0.5000 0.0000 0.0000

***

Record 9
First-principles (GGA-PBEsol) data for a relaxed TeWO2F crystal, as listed in Alexandria via LeMat-Bulk.

Values from the calculation:
- size of the total moment (μB/f.u.) = 4.8
- uncorrected formation energy (eV/atom) = 0.5040
- uncorrected energy (hartree per atom) = -0.2002
- symmetry = P4/mmm, No. 123

a = 4.2211 Å, b = 4.2211 Å, c = 4.3550 Å
α = 90.00°, β = 90.00°, γ = 90.00°
Sites, in units of the cell vectors:
Te1 0.0000 0.0000 0.0000
O1 0.0000 0.5000 0.0000
O2 0.5000 0.0000 0.0000
W1 0.5000 0.5000 0.5000
F1 0.0000 0.0000 0.5000

***

Record 10
First-principles (GGA-PBEsol) data for a relaxed TiOF crystal, as listed in Alexandria via LeMat-Bulk.

Values from the calculation:
- size of the total moment (μB/f.u.) = 0.0
- uncorrected formation energy (eV/atom) = -3.0649
- uncorrected energy (hartree per atom) = -0.3025
- symmetry = Pmmn, No. 59

a = 3.0171 Å, b = 3.9756 Å, c = 5.8881 Å
α = 90.00°, β = 90.00°, γ = 90.00°
Sites, in units of the cell vectors:
Ti1 0.5000 0.0000 0.6221
Ti2 0.0000 0.5000 0.3779
O1 0.0000 0.0000 0.3863
O2 0.5000 0.5000 0.6137
F1 0.0000 0.0000 0.8426
F2 0.5000 0.5000 0.1574

***

Record 11
First-principles (GGA-PBEsol) data for a relaxed TiOF crystal, as listed in Alexandria via LeMat-Bulk.

Values from the calculation:
- size of the total moment (μB/f.u.) = 1.0
- uncorrected formation energy (eV/atom) = -3.0629
- uncorrected energy (hartree per atom) = -0.3024
- symmetry = P2_1/c, No. 14

a = 4.8399 Å, b = 5.0225 Å, c = 5.2042 Å
α = 102.84°, β = 90.00°, γ = 90.00°
Sites, in units of the cell vectors:
F1 0.1999 0.0508 0.8681
F2 0.3001 0.0508 0.3681
F3 0.8001 0.9492 0.1319
F4 0.6999 0.9492 0.6319
O1 0.7513 0.4388 0.4861
O2 0.7487 0.4388 0.9861
O3 0.2487 0.5612 0.5139
O4 0.2513 0.5612 0.0139
Ti1 0.5416 0.6855 0.2912
Ti2 0.0416 0.3145 0.2088
Ti3 0.4584 0.3145 0.7088
Ti4 0.9584 0.6855 0.7912

***

Record 12
First-principles (GGA-PBEsol) data for a relaxed TiOF crystal, as listed in Alexandria via LeMat-Bulk.

Values from the calculation:
- size of the total moment (μB/f.u.) = 0.0
- uncorrected formation energy (eV/atom) = -3.1452
- uncorrected energy (hartree per atom) = -0.3054
- symmetry = P4/mmm, No. 123

a = 2.8487 Å, b = 2.8487 Å, c = 3.9222 Å
α = 90.00°, β = 90.00°, γ = 90.00°
Sites, in units of the cell vectors:
Ti1 0.0000 0.0000 0.0000
O1 0.5000 0.5000 0.0000
F1 0.0000 0.0000 0.5000

***

Record 13
First-principles (GGA-PBEsol) data for a relaxed TiTlO2F crystal, as listed in Alexandria via LeMat-Bulk.

Values from the calculation:
- size of the total moment (μB/f.u.) = 1.9
- uncorrected formation energy (eV/atom) = -0.5086
- uncorrected energy (hartree per atom) = -0.1905
- symmetry = P4/mmm, No. 123

a = 4.2749 Å, b = 4.2749 Å, c = 4.2491 Å
α = 90.00°, β = 90.00°, γ = 90.00°
Sites, in units of the cell vectors:
Tl1 0.0000 0.0000 0.0000
F1 0.0000 0.0000 0.5000
O1 0.0000 0.5000 0.0000
O2 0.5000 0.0000 0.0000
Ti1 0.5000 0.5000 0.5000

***

Record 14
First-principles (GGA-PBEsol) data for a relaxed TiTlWO5F crystal, as listed in Alexandria via LeMat-Bulk.

Values from the calculation:
- size of the total moment (μB/f.u.) = 0.0
- uncorrected formation energy (eV/atom) = -2.3456
- uncorrected energy (hartree per atom) = -0.3023
- symmetry = Ima2, No. 46

a = 7.2522 Å, b = 7.2522 Å, c = 7.2522 Å
α = 91.39°, β = 119.84°, γ = 118.57°
Sites, in units of the cell vectors:
Ti1 0.0040 0.9876 0.4836
Ti2 0.5040 0.5204 0.5164
Tl1 0.1295 0.7309 0.1014
Tl2 0.6295 0.0281 0.8986
W1 0.4882 0.4882 0.0000
W2 0.9882 0.4882 0.5000
O1 0.2622 0.2015 0.8048
O2 0.8967 0.2015 0.4392
O3 0.2594 0.5751 0.8157
O4 0.7622 0.4574 0.5608
O5 0.3967 0.4574 0.1952
O6 0.6292 0.5726 0.8143
O7 0.2583 0.5726 0.4434
O8 0.7594 0.4437 0.1843
O9 0.1292 0.8149 0.5566
O10 0.7583 0.8149 0.1857
F1 0.2625 0.1938 0.4313
F2 0.7625 0.8312 0.5687

***

Record 15
First-principles (GGA-PBEsol) data for a relaxed TiZnOF2 crystal, as listed in Alexandria via LeMat-Bulk.

Values from the calculation:
- size of the total moment (μB/f.u.) = 0.8
- uncorrected formation energy (eV/atom) = -2.1225
- uncorrected energy (hartree per atom) = -0.2177
- symmetry = P4/mmm, No. 123

a = 3.7820 Å, b = 4.0588 Å, c = 4.0588 Å
α = 90.00°, β = 90.00°, γ = 90.00°
Sites, in units of the cell vectors:
Zn1 0.5000 0.5000 0.5000
F1 0.0000 0.0000 0.5000
F2 0.0000 0.5000 0.0000
O1 0.5000 0.0000 0.0000
Ti1 0.0000 0.0000 0.0000

***

Record 16
First-principles (GGA-PBEsol) data for a relaxed Tl3OF crystal, as listed in Alexandria via LeMat-Bulk.

Values from the calculation:
- size of the total moment (μB/f.u.) = 0.1
- uncorrected formation energy (eV/atom) = -0.4982
- uncorrected energy (hartree per atom) = -0.1291
- symmetry = Pm-3m, No. 221

a = 5.0313 Å, b = 5.0313 Å, c = 5.0313 Å
α = 90.00°, β = 90.00°, γ = 90.00°
Sites, in units of the cell vectors:
Tl1 0.0000 0.5000 0.0000
Tl2 0.0000 0.0000 0.5000
Tl3 0.5000 0.0000 0.0000
O1 0.0000 0.0000 0.0000
F1 0.5000 0.5000 0.5000

***

Record 17
First-principles (GGA-PBEsol) data for a relaxed TlO2F2 crystal, as listed in Alexandria via LeMat-Bulk.

Values from the calculation:
- size of the total moment (μB/f.u.) = 0.8
- uncorrected formation energy (eV/atom) = 0.2796
- uncorrected energy (hartree per atom) = -0.1146
- symmetry = P4/mmm, No. 123

a = 3.5998 Å, b = 3.5998 Å, c = 4.4545 Å
α = 90.00°, β = 90.00°, γ = 90.00°
Sites, in units of the cell vectors:
Tl1 0.5000 0.5000 0.5000
O1 0.0000 0.5000 0.0000
O2 0.5000 0.0000 0.0000
F1 0.0000 0.0000 0.0000
F2 0.0000 0.0000 0.5000

***

Record 18
First-principles (GGA-PBEsol) data for a relaxed TlOF crystal, as listed in Alexandria via LeMat-Bulk.

Values from the calculation:
- size of the total moment (μB/f.u.) = 0.0
- uncorrected formation energy (eV/atom) = -1.1933
- uncorrected energy (hartree per atom) = -0.1640
- symmetry = Cm, No. 8

a = 9.2101 Å, b = 9.2101 Å, c = 9.9213 Å
α = 110.32°, β = 110.32°, γ = 106.30°
Sites, in units of the cell vectors:
Tl1 0.7007 0.9617 0.2183
Tl2 0.7344 0.2403 0.0204
Tl3 0.7281 0.7281 0.4747
Tl4 0.9617 0.7007 0.2183
Tl5 0.9686 0.9686 0.0082
Tl6 0.5111 0.2494 0.2614
Tl7 0.2494 0.5111 0.2614
Tl8 0.2623 0.0163 0.7622
Tl9 0.3013 0.3013 0.5352
Tl10 0.4675 0.9942 0.4655
Tl11 0.9942 0.4675 0.4655
Tl12 0.7711 0.5054 0.7228
Tl13 0.5054 0.7711 0.7228
Tl14 0.0163 0.2623 0.7622
Tl15 0.4967 0.4967 0.0443
Tl16 0.2403 0.7344 0.0204
O1 0.7164 0.4746 0.0156
O2 0.7646 0.7646 0.2869
O3 0.4682 0.2177 0.0026
O4 0.2177 0.4682 0.0026
O5 0.9743 0.7134 0.9682
O6 0.7531 0.2199 0.2586
O7 0.2199 0.7531 0.2586
O8 0.4748 0.4748 0.2661
O9 0.4564 0.9947 0.2345
O10 0.9947 0.4564 0.2345
O11 0.7827 0.5145 0.5002
O12 0.5145 0.7827 0.5002
O13 0.5239 0.2703 0.5232
O14 0.2703 0.5239 0.5232
O15 0.4746 0.7164 0.0156
O16 0.7134 0.9743 0.9682
F1 0.1810 0.9782 0.9545
F2 0.9782 0.1810 0.9545
F3 0.2134 0.2134 0.2510
F4 0.5090 0.0459 0.7317
F5 0.7778 0.7778 0.7299
F6 0.9635 0.9635 0.2272
F7 0.7638 0.0864 0.5253
F8 0.0864 0.7638 0.5253
F9 0.2391 0.0364 0.5089
F10 0.0364 0.2391 0.5089
F11 0.5582 0.5582 0.7723
F12 0.8133 0.3180 0.8108
F13 0.3180 0.8133 0.8108
F14 0.0459 0.5090 0.7317
F15 0.2915 0.2915 0.7657
F16 0.9960 0.9960 0.6692

***

Record 19
First-principles (GGA-PBEsol) data for a relaxed TlWOF2 crystal, as listed in Alexandria via LeMat-Bulk.

Values from the calculation:
- size of the total moment (μB/f.u.) = 0.0
- uncorrected formation energy (eV/atom) = -1.3487
- uncorrected energy (hartree per atom) = -0.2373
- symmetry = P4/mmm, No. 123

a = 3.8617 Å, b = 4.3068 Å, c = 4.3068 Å
α = 90.00°, β = 90.00°, γ = 90.00°
Sites, in units of the cell vectors:
Tl1 0.5000 0.5000 0.5000
O1 0.5000 0.0000 0.0000
W1 0.0000 0.0000 0.0000
F1 0.0000 0.0000 0.5000
F2 0.0000 0.5000 0.0000

***

Record 20
First-principles (GGA-PBEsol) data for a relaxed YTlO2F crystal, as listed in Alexandria via LeMat-Bulk.

Values from the calculation:
- size of the total moment (μB/f.u.) = 0.0
- uncorrected formation energy (eV/atom) = -1.2721
- uncorrected energy (hartree per atom) = -0.2076
- symmetry = P4/mmm, No. 123

a = 4.3145 Å, b = 4.3145 Å, c = 4.3421 Å
α = 90.00°, β = 90.00°, γ = 90.00°
Sites, in units of the cell vectors:
Y1 0.5000 0.5000 0.5000
Tl1 0.0000 0.0000 0.0000
O1 0.0000 0.5000 0.0000
O2 0.5000 0.0000 0.0000
F1 0.0000 0.0000 0.5000